This record from the Alexandria database describes a relaxed La4P5 crystal. The functional is GGA-PBE.

## Properties
M_tot: 0.00 μB per formula unit
raw total energy: -6.30 eV/atom
space-group type: P6_3/mcm, No. 193
DOS(E_F): 6.6 states/eV/f.u.
energy of formation from the pure elements: -1.104 eV per atom

a b c (Å): 8.9885 8.9885 6.1312
angles (deg): 90.00 90.00 120.00
With the nearest neighbours (Å) after each atom.
Fractional coordinates of all 18 atoms:
La 0.0000 0.0000 0.0000  6 P 2.91, 2 La 3.07
La 0.0000 0.0000 0.5000  6 P 2.91, 2 La 3.07
La 0.0000 0.3893 0.2500  9 P 3.01-3.23
La 0.0000 0.6106 0.7500  9 P 3.01-3.23
La 0.3893 0.0000 0.2500  9 P 3.01-3.23
La 0.3893 0.3893 0.7500  9 P 3.01-3.23
La 0.6106 0.0000 0.7500  9 P 3.01-3.23
La 0.6106 0.6106 0.2500  9 P 3.01-3.23
P 0.0000 0.2757 0.7500  7 La 2.91-3.23
P 0.0000 0.7243 0.2500  7 La 2.91-3.23
P 0.2757 0.0000 0.7500  7 La 2.91-3.23
P 0.2757 0.2757 0.2500  7 La 2.91-3.23
P 0.3333 0.6667 0.0000  2 P 3.07, 6 La 3.17
P 0.3333 0.6667 0.5000  2 P 3.07, 6 La 3.17
P 0.6667 0.3333 0.0000  2 P 3.07, 6 La 3.17
P 0.6667 0.3333 0.5000  2 P 3.07, 6 La 3.17
P 0.7243 0.0000 0.2500  7 La 2.91-3.23
P 0.7243 0.7243 0.7500  7 La 2.91-3.23

This record from the Alexandria database describes a relaxed Cs2Se2O6F crystal. The functional is GGA-PBE.

## Properties
M_tot: 0.94 μB per formula unit
raw total energy: -4.65 eV/atom
space-group type: C2/m, No. 12
formation energy (no corrections): -982 meV/atom
DOS(E_F): 7.0 states/eV/f.u.

a b c (Å): 6.9485 6.9485 6.6154
angles (deg): 102.56 102.56 61.35
With the nearest neighbours (Å) after each atom.
Fractional coordinates of all 11 atoms:
Cs 0.1580 0.1580 0.2640  1 F 2.74
Cs 0.8420 0.8420 0.7360  1 F 2.74
Se 0.4731 0.4731 0.1873  3 O 1.66
Se 0.5269 0.5269 0.8127  3 O 1.66
O 0.1996 0.5977 0.1697  1 Se 1.66
O 0.3982 0.3982 0.6433  1 Se 1.66
O 0.4023 0.8004 0.8303  1 Se 1.66
O 0.5977 0.1996 0.1697  1 Se 1.66
O 0.6018 0.6018 0.3567  1 Se 1.66
O 0.8004 0.4023 0.8303  1 Se 1.66
F 0.0000 0.0000 0.5000  2 Cs 2.74

This record from the Alexandria database describes a relaxed HgI2O2 crystal. The functional is GGA-PBE.

## Properties
excess energy over the best structure of this formula in the dataset: 472.6 meV per atom
M_tot: 1.18 μB per formula unit
raw total energy: -2.15 eV/atom
space-group type: P4/mmm, No. 123
formation energy (no corrections): 510 meV/atom
DOS(E_F): 5.7 states/eV/f.u.

a b c (Å): 4.3400 4.3400 7.5074
angles (deg): 90.00 90.00 90.00
With the nearest neighbours (Å) after each atom.
Fractional coordinates of all 5 atoms:
Hg 0.0000 0.0000 0.0000  4 O 2.17
I 0.0000 0.0000 0.5000  4 I 3.07
I 0.5000 0.5000 0.5000  4 I 3.07
O 0.0000 0.5000 0.0000  2 Hg 2.17
O 0.5000 0.0000 0.0000  2 Hg 2.17

This record from the Alexandria database describes a relaxed Ta2AgHPd crystal. The functional is GGA-PBE.

## Properties
M_tot: 0.00 μB per formula unit
raw total energy: -6.17 eV/atom
space-group type: P4/mmm, No. 123
DOS(E_F): 4.8 states/eV/f.u.

a b c (Å): 5.1496 5.1496 3.1116
angles (deg): 90.00 90.00 90.00
With the nearest neighbours (Å) after each atom.
Fractional coordinates of all 5 atoms:
Ta 0.0000 0.5000 0.0000  2 Pd 2.57
Ta 0.5000 0.0000 0.0000  2 Pd 2.57
Ag 0.0000 0.0000 0.5000  8 Ta 3.01, 2 Ag 3.11
H 0.5000 0.5000 0.5000  2 Pd 1.56
Pd 0.5000 0.5000 0.0000  2 H 1.56

This record from the Alexandria database describes a relaxed TmPuHf crystal. The functional is GGA-PBE.

## Properties
excess energy over the best structure of this formula in the dataset: 302.3 meV per atom
M_tot: 1.01 μB per formula unit
raw total energy: -9.14 eV/atom
space-group type: Fmmm, No. 69
DOS(E_F): 6.2 states/eV/f.u.
energy of formation from the pure elements: 0.447 eV per atom

a b c (Å): 7.7422 5.9617 5.9176
angles (deg): 81.34 49.57 49.08
With the nearest neighbours (Å) after each atom.
Fractional coordinates of all 6 atoms:
Tm 0.1455 0.8545 0.1455  3 Tm 3.17-3.24, 4 Pu 3.19, 4 Hf 3.30
Tm 0.8545 0.1455 0.8545  3 Tm 3.17-3.24, 4 Pu 3.19, 4 Hf 3.30
Pu 0.2500 0.2500 0.2500  2 Pu 2.30
Pu 0.7500 0.7500 0.7500  2 Pu 2.30
Hf 0.3403 0.3403 0.6597  2 Hf 3.04, 4 Pu 3.12, 4 Tm 3.30
Hf 0.6597 0.6597 0.3403  2 Hf 3.04, 4 Pu 3.12, 4 Tm 3.30

This record from the Alexandria database describes a relaxed Tb2HfPd9 crystal. The functional is GGA-PBE.

## Properties
M_tot: 0.00 μB per formula unit
raw total energy: -6.38 eV/atom
space-group type: P4/mmm, No. 123
DOS(E_F): 6.9 states/eV/f.u.
energy of formation from the pure elements: -0.882 eV per atom

a b c (Å): 4.0829 4.0829 12.3198
angles (deg): 90.00 90.00 90.00
With the nearest neighbours (Å) after each atom.
Fractional coordinates of all 12 atoms:
Tb 0.0000 0.0000 0.1693  12 Pd 2.89-2.96
Tb 0.0000 0.0000 0.8307  12 Pd 2.89-2.96
Hf 0.0000 0.0000 0.5000  12 Pd 2.81-2.89
Pd 0.0000 0.5000 0.0000  8 Pd 2.89-2.94, 4 Tb 2.92
Pd 0.0000 0.5000 0.3430  2 Hf 2.81, 8 Pd 2.81-2.94, 2 Tb 2.96
Pd 0.0000 0.5000 0.6570  2 Hf 2.81, 8 Pd 2.81-2.94, 2 Tb 2.96
Pd 0.5000 0.0000 0.0000  8 Pd 2.89-2.94, 4 Tb 2.92
Pd 0.5000 0.0000 0.3430  2 Hf 2.81, 8 Pd 2.81-2.94, 2 Tb 2.96
Pd 0.5000 0.0000 0.6570  2 Hf 2.81, 8 Pd 2.81-2.94, 2 Tb 2.96
Pd 0.5000 0.5000 0.1717  4 Tb 2.89, 8 Pd 2.94
Pd 0.5000 0.5000 0.5000  8 Pd 2.81, 4 Hf 2.89
Pd 0.5000 0.5000 0.8283  4 Tb 2.89, 8 Pd 2.94